# 1
Compound: Rb2Na2Ag
Source: Alexandria via LeMat-Bulk
Functional: PBE
Structure: relaxed

abc: 8.3779 8.3779 6.5025
angles: 90.00 90.00 90.00
Sites, in units of the cell vectors:
Rb 0.1888 0.3112 0.0000
Rb 0.3112 0.8112 0.0000
Rb 0.6888 0.1888 0.0000
Rb 0.8112 0.6888 0.0000
Na 0.1503 0.6503 0.5000
Na 0.3497 0.1503 0.5000
Na 0.6503 0.8497 0.5000
Na 0.8497 0.3497 0.5000
Ag 0.0000 0.0000 0.5000
Ag 0.5000 0.5000 0.5000

Computed properties:
- Excess energy over the best structure of this formula in the dataset: 0.0 meV/atom
- Space-group type: No. 127
- Formation enthalpy at 0 K: 0.0919 eV per atom
- Magnetic moment: 0.00 μB per cell
- Fermi-level density of states: 0.3888 states/eV per atom

---

# 2
Compound: Rb2NaAg2
Source: Alexandria via LeMat-Bulk
Functional: PBE
Structure: relaxed

abc: 8.5536 8.5536 5.4011
angles: 90.00 90.00 90.00
Sites, in units of the cell vectors:
Rb 0.1728 0.3272 0.0000
Rb 0.3272 0.8272 0.0000
Rb 0.6728 0.1728 0.0000
Rb 0.8272 0.6728 0.0000
Na 0.0000 0.0000 0.5000
Na 0.5000 0.5000 0.5000
Ag 0.1181 0.6181 0.5000
Ag 0.3819 0.1181 0.5000
Ag 0.6181 0.8819 0.5000
Ag 0.8819 0.3819 0.5000

Computed properties:
- Excess energy over the best structure of this formula in the dataset: 0.0 meV/atom
- Space-group type: No. 127
- Formation enthalpy at 0 K: 0.0724 eV per atom
- Magnetic moment: 0.00 μB per cell
- Fermi-level density of states: 0.5500 states/eV per atom

---

# 3
Compound: RbNaAg
Source: Alexandria via LeMat-Bulk
Functional: PBE
Structure: relaxed

abc: 7.2990 7.2990 7.2990
angles: 146.89 146.89 47.52
Sites, in units of the cell vectors:
Rb 0.0000 0.0000 0.0000
Na 0.2675 0.2675 0.0000
Ag 0.6871 0.6871 0.0000

Computed properties:
- Excess energy over the best structure of this formula in the dataset: 57.5 meV/atom
- Space-group type: No. 107
- Formation enthalpy at 0 K: 0.0834 eV per atom
- Magnetic moment: 0.00 μB per cell
- Fermi-level density of states: 0.5390 states/eV per atom